Compound: NaTmB12
Source: Alexandria
Functional: PBE-GGA
Structure: relaxed

Cell: 4.121 4.121 8.250 Å, 90.00 90.00 90.00°
Fractional coordinates of all 14 atoms:
Na 0.000 0.000 0.500
Tm 0.000 0.000 0.000
B 0.200 0.500 0.246
B 0.200 0.500 0.754
B 0.500 0.500 0.398
B 0.500 0.500 0.902
B 0.500 0.200 0.246
B 0.500 0.200 0.754
B 0.500 0.500 0.098
B 0.500 0.500 0.602
B 0.500 0.800 0.246
B 0.500 0.800 0.754
B 0.800 0.500 0.246
B 0.800 0.500 0.754

Calculated values
N(E_F) = 0.086 states/eV per atom
Space-group type = P4/mmm, No. 123
Raw total energy = -89.585 eV/cell
Magnetic moment = 0.0 μB/f.u.

***

Compound: NaV3B
Source: Alexandria
Functional: PBE-GGA
Structure: relaxed

Cell: 4.277 4.277 4.277 Å, 90.00 90.00 90.00°
Fractional coordinates of all 5 atoms:
Na 0.000 0.000 0.000
B 0.500 0.500 0.500
V 0.000 0.500 0.000
V 0.000 0.000 0.500
V 0.500 0.000 0.000

Calculated values
N(E_F) = 1.483 states/eV per atom
Space-group type = Pm-3m, No. 221
Magnetic moment = 0.0 μB/f.u.
Energy above the lowest structure with this stoichiometry = 2200 meV/atom